No. 1
Rb2BaOsO5 | PBE | optimized geometry

Lattice parameters (Å, degrees): 3.867 6.065 7.614 113.47 104.71 90.00
Fractional coordinates of all 9 atoms:
Rb (0.219, 0.219, 0.439)
Rb (0.781, 0.781, 0.561)
Ba (0.000, 0.500, 0.000)
Os (0.500, 0.000, 0.000)
O (0.601, 0.870, 0.203)
O (0.399, 0.130, 0.797)
O (0.399, 0.667, 0.797)
O (0.601, 0.333, 0.203)
O (0.000, 0.000, 0.000)

Computed properties:
magnetic moment: 0.00 μB per atom
uncorrected energy: -0.4451 Ry/atom

No. 2
RbBa2OsO5 | PBE | optimized geometry

Lattice parameters (Å, degrees): 3.958 6.583 7.213 117.15 105.93 90.00
Site moments in Bohr magnetons follow the coordinates.
Fractional coordinates of all 9 atoms:
Rb (0.000, 0.500, 0.000)  0.00
Ba (0.224, 0.224, 0.448)  0.01
Ba (0.776, 0.776, 0.552)  0.01
Os (0.500, 0.000, 0.000)  1.08
O (0.621, 0.912, 0.243)  0.09
O (0.379, 0.088, 0.757)  0.09
O (0.379, 0.669, 0.757)  0.09
O (0.621, 0.331, 0.243)  0.09
O (0.000, 0.000, 0.000)  0.05

Computed properties:
magnetic moment: 0.19 μB per atom
uncorrected energy: -0.4686 Ry/atom

No. 3
Rb3BaOs2O9 | PBE | optimized geometry

Lattice parameters (Å, degrees): 5.932 5.932 7.905 90.00 90.00 120.00
Fractional coordinates of all 15 atoms:
Rb (0.333, 0.667, 0.694)
Rb (0.000, 0.000, 0.000)
Rb (0.667, 0.333, 0.306)
Ba (0.000, 0.000, 0.500)
Os (0.333, 0.667, 0.142)
Os (0.667, 0.333, 0.858)
O (0.814, 0.186, 0.724)
O (0.814, 0.629, 0.724)
O (0.371, 0.186, 0.724)
O (0.629, 0.814, 0.276)
O (0.186, 0.371, 0.276)
O (0.186, 0.814, 0.276)
O (0.500, 0.000, 0.000)
O (0.000, 0.500, 0.000)
O (0.500, 0.500, 0.000)

Computed properties:
magnetic moment: 0.00 μB per atom
uncorrected energy: -0.4599 Ry/atom

No. 4
RbBa2Os3O12 | PBE | optimized geometry

Lattice parameters (Å, degrees): 7.151 7.151 7.151 61.85 61.85 61.85
Fractional coordinates of all 18 atoms:
Rb (0.000, 0.000, 0.000)
Ba (0.607, 0.607, 0.607)
Ba (0.393, 0.393, 0.393)
Os (0.500, 0.000, 0.000)
Os (0.000, 0.500, 0.000)
Os (0.000, 0.000, 0.500)
O (0.279, 0.279, 0.871)
O (0.860, 0.860, 0.481)
O (0.481, 0.860, 0.860)
O (0.871, 0.279, 0.279)
O (0.860, 0.481, 0.860)
O (0.279, 0.871, 0.279)
O (0.721, 0.721, 0.129)
O (0.140, 0.140, 0.519)
O (0.519, 0.140, 0.140)
O (0.129, 0.721, 0.721)
O (0.140, 0.519, 0.140)
O (0.721, 0.129, 0.721)

Computed properties:
magnetic moment: 0.00 μB per atom
uncorrected energy: -0.5122 Ry/atom

No. 5
Ba2OsRh3O12 | PBE | optimized geometry

Lattice parameters (Å, degrees): 7.233 7.233 7.233 58.36 58.36 58.36
Site moments in Bohr magnetons follow the coordinates.
Fractional coordinates of all 18 atoms:
Ba (0.618, 0.618, 0.618)  0.00
Ba (0.382, 0.382, 0.382)  0.00
Os (0.000, 0.000, 0.000)  0.11
Rh (0.500, 0.000, 0.000)  0.03
Rh (0.000, 0.500, 0.000)  0.03
Rh (0.000, 0.000, 0.500)  0.03
O (0.335, 0.335, 0.923)  0.01
O (0.929, 0.929, 0.316)  0.01
O (0.316, 0.929, 0.929)  0.01
O (0.923, 0.335, 0.335)  0.01
O (0.929, 0.316, 0.929)  0.01
O (0.335, 0.923, 0.335)  0.01
O (0.665, 0.665, 0.077)  0.01
O (0.071, 0.071, 0.684)  0.01
O (0.684, 0.071, 0.071)  0.01
O (0.077, 0.665, 0.665)  0.01
O (0.071, 0.684, 0.071)  0.01
O (0.665, 0.077, 0.665)  0.01

Computed properties:
magnetic moment: 0.02 μB per atom
uncorrected energy: -0.4844 Ry/atom

No. 6
BaOsRh2O | PBE | optimized geometry

Lattice parameters (Å, degrees): 5.061 3.833 5.061 90.00 90.00 90.00
Fractional coordinates of all 5 atoms:
Rh (0.000, 0.000, 0.500)
Rh (0.500, 0.000, 0.000)
Os (0.000, 0.000, 0.000)
Ba (0.500, 0.500, 0.500)
O (0.000, 0.500, 0.000)

Computed properties:
magnetic moment: 0.00 μB per atom
uncorrected energy: -0.4757 Ry/atom

No. 7
BaOsRh2O8 | PBE | optimized geometry

Lattice parameters (Å, degrees): 4.790 4.721 6.832 87.30 87.54 87.70
Fractional coordinates of all 12 atoms:
Ba (0.000, 0.000, 0.500)
Os (0.000, 0.000, 0.000)
Rh (0.503, 0.503, 0.757)
Rh (0.497, 0.497, 0.243)
O (0.173, 0.765, 0.197)
O (0.692, 0.726, 0.998)
O (0.800, 0.210, 0.193)
O (0.827, 0.235, 0.803)
O (0.308, 0.274, 0.002)
O (0.200, 0.790, 0.807)
O (0.594, 0.709, 0.479)
O (0.406, 0.291, 0.521)

Computed properties:
magnetic moment: 0.00 μB per atom
uncorrected energy: -0.4840 Ry/atom

No. 8
BaOs2RhO8 | PBE | optimized geometry

Lattice parameters (Å, degrees): 5.130 5.130 7.092 76.68 76.68 77.80
Site moments in Bohr magnetons follow the coordinates.
Fractional coordinates of all 12 atoms:
Ba (0.000, 0.000, 0.500)  0.00
Os (0.551, 0.551, 0.254)  0.06
Os (0.449, 0.449, 0.746)  0.06
Rh (0.000, 0.000, 0.000)  -0.02
O (0.791, 0.294, 0.785)  0.01
O (0.746, 0.746, 0.031)  0.01
O (0.661, 0.661, 0.453)  0.01
O (0.339, 0.339, 0.547)  0.01
O (0.254, 0.254, 0.969)  0.01
O (0.294, 0.791, 0.785)  0.01
O (0.706, 0.209, 0.215)  0.01
O (0.209, 0.706, 0.215)  0.01

Computed properties:
magnetic moment: 0.01 μB per atom
uncorrected energy: -0.5215 Ry/atom

Question: Which of these has the highest uncorrected energy?
Answer: Rb2BaOsO5

Question: Which value of uncorrected energy does entry 6 give?
Answer: -0.4757 Ry/atom

Question: Look up the magnetic moment of the seventh one.
Answer: 0.00 μB per atom